[1]
Compound: Mg3PSe
Source: Alexandria
Functional: PBE-GGA
Structure: optimized geometry

## Properties
The value obtained for the energy is -2.689 eV/atom. As for the crystal system: cubic. As for the energy above the most stable polymorph in this dataset: 408 meV/atom. The value obtained for the raw formation energy is 0.233 eV per formula unit. The space group is Pm-3m.

abc: 4.968 4.968 4.968
angles: 90.00 90.00 90.00
Sites, in units of the cell vectors:
1 Mg 0.000 0.500 0.000
2 Se 0.000 0.000 0.000
3 P 0.500 0.500 0.500
4 Mg 0.000 0.000 0.500
5 Mg 0.500 0.000 0.000

***

[2]
Compound: Mg2PSe
Source: Alexandria
Functional: PBE-GGA
Structure: optimized geometry

## Properties
The value obtained for the energy is -3.457 eV/atom. As for the crystal system: orthorhombic. The value obtained for the raw formation energy is -1.746 eV per formula unit. The space group is Cmmm.

abc: 3.514 3.514 7.187
angles: 90.00 90.00 112.56
Sites, in units of the cell vectors:
1 P 0.500 0.500 0.250
2 Se 0.500 0.500 0.750
3 Mg 0.000 0.000 0.490
4 Mg 0.000 0.000 0.010

***

[3]
Compound: MgP2Se
Source: Alexandria
Functional: PBE-GGA
Structure: optimized geometry

## Properties
The value obtained for the energy is -4.099 eV/atom. As for the crystal system: orthorhombic. As for the energy above the most stable polymorph in this dataset: 291 meV/atom. The value obtained for the raw formation energy is -0.497 eV per formula unit. The space group is Imm2.

abc: 7.266 7.266 7.266
angles: 154.39 149.39 40.32
Sites, in units of the cell vectors:
1 P 0.911 0.911 0.000
2 Se 0.577 0.577 0.000
3 Mg 0.207 0.707 0.500
4 P 0.805 0.305 0.500

***

[4]
Compound: MgPSe3
Source: Alexandria
Functional: PBE-GGA
Structure: optimized geometry

## Properties
The value obtained for the energy is -3.400 eV/atom. As for the crystal system: cubic. The value obtained for the raw formation energy is 0.456 eV per formula unit. The space group is Pm-3m.

abc: 4.858 4.858 4.858
angles: 90.00 90.00 90.00
Sites, in units of the cell vectors:
1 P 0.000 0.000 0.000
2 Mg 0.500 0.500 0.500
3 Se 0.000 0.500 0.000
4 Se 0.500 0.000 0.000
5 Se 0.000 0.000 0.500

***

[5]
Compound: MgP2Se
Source: Alexandria
Functional: PBE-GGA
Structure: optimized geometry

## Properties
The value obtained for the energy is -4.088 eV/atom. As for the crystal system: tetragonal. As for the energy above the most stable polymorph in this dataset: 302 meV/atom. The value obtained for the raw formation energy is -0.453 eV per formula unit. The space group is I4/mmm.

abc: 4.596 4.599 4.597
angles: 71.80 67.98 108.20
Sites, in units of the cell vectors:
1 Se 0.000 0.500 0.500
2 P 0.500 0.000 0.500
3 Mg 0.500 0.500 0.000
4 P 0.000 0.000 0.000

***

[6]
Compound: MgP2Se
Source: Alexandria
Functional: PBE-GGA
Structure: optimized geometry

## Properties
The value obtained for the energy is -3.945 eV/atom. As for the crystal system: tetragonal. As for the energy above the most stable polymorph in this dataset: 445 meV/atom. The value obtained for the raw formation energy is 0.120 eV per formula unit. The space group is P4/mmm.

abc: 4.004 4.007 5.105
angles: 90.00 90.00 90.00
Sites, in units of the cell vectors:
1 Se 0.500 0.500 0.250
2 P 0.000 0.000 0.550
3 P 0.000 0.000 0.950
4 Mg 0.500 0.500 0.750

***

[7]
Compound: Mg2P2Se5
Source: Alexandria
Functional: PBE-GGA
Structure: optimized geometry

## Properties
The value obtained for the energy is -3.783 eV/atom. As for the crystal system: trigonal. The value obtained for the raw formation energy is -2.613 eV per formula unit. The space group is P-3m1.

abc: 3.945 3.945 17.099
angles: 90.00 90.00 120.00
Sites, in units of the cell vectors:
1 Se 0.333 0.667 0.334
2 Se 0.333 0.667 0.889
3 Mg 0.667 0.333 0.833
4 Se 0.000 0.000 0.500
5 Se 0.667 0.333 0.111
6 Se 0.667 0.333 0.666
7 P 0.667 0.333 0.409
8 P 0.333 0.667 0.591
9 Mg 0.333 0.667 0.167

***

[8]
Compound: Mg4PSe
Source: Alexandria
Functional: PBE-GGA
Structure: optimized geometry

## Properties
The value obtained for the energy is -2.441 eV/atom. As for the crystal system: cubic. The value obtained for the raw formation energy is 0.627 eV per formula unit. The space group is F-43m.

abc: 5.633 5.633 5.633
angles: 60.00 60.00 60.00
Sites, in units of the cell vectors:
1 Mg 0.375 0.375 0.875
2 Mg 0.375 0.375 0.375
3 Mg 0.375 0.875 0.375
4 Mg 0.875 0.375 0.375
5 P 0.750 0.750 0.750
6 Se 0.000 0.000 0.000

***

[9]
Compound: MgP2Se
Source: Alexandria
Functional: PBE-GGA
Structure: optimized geometry

## Properties
The value obtained for the energy is -4.202 eV/atom. As for the crystal system: monoclinic. As for the energy above the most stable polymorph in this dataset: 187 meV/atom. The value obtained for the raw formation energy is -0.910 eV per formula unit. The space group is Cm.

abc: 6.489 6.489 3.830
angles: 86.90 86.90 33.00
Sites, in units of the cell vectors:
1 Mg 0.277 0.277 0.373
2 P 0.950 0.950 0.832
3 Se 0.498 0.498 0.418
4 P 0.776 0.776 0.877

***

[10]
Compound: MgP2Se
Source: Alexandria
Functional: PBE-GGA
Structure: optimized geometry

## Properties
The value obtained for the energy is -4.290 eV/atom. As for the crystal system: monoclinic. As for the energy above the most stable polymorph in this dataset: 100 meV/atom. The value obtained for the raw formation energy is -1.261 eV per formula unit. The space group is C2/m.

abc: 5.926 5.926 4.123
angles: 110.32 110.32 35.63
Sites, in units of the cell vectors:
1 P 0.998 0.998 0.076
2 Mg 0.250 0.250 0.250
3 P 0.502 0.502 0.424
4 Se 0.750 0.750 0.750

***

[11]
Compound: Mg2PSe
Source: Alexandria
Functional: PBE-GGA
Structure: optimized geometry

## Properties
The value obtained for the energy is -3.589 eV/atom. As for the crystal system: tetragonal. The value obtained for the raw formation energy is -2.273 eV per formula unit. The space group is I-42d.

abc: 6.243 6.243 6.938
angles: 63.26 63.26 90.00
Each line ends with the local moment (μB).
Sites, in units of the cell vectors:
1 Mg 0.127 0.625 0.250  0.01
2 Se 0.750 0.250 0.500  0.07
3 P 0.250 0.750 0.500  0.36
4 Se 0.000 0.000 0.000  0.07
5 P 0.500 0.500 0.000  0.36
6 Mg 0.375 0.377 0.750  0.01
7 Mg 0.875 0.873 0.750  0.01
8 Mg 0.623 0.125 0.250  0.01

***

[12]
Compound: MgP2Se
Source: Alexandria
Functional: PBE-GGA
Structure: optimized geometry

## Properties
The value obtained for the energy is -3.796 eV/atom. As for the crystal system: tetragonal. As for the energy above the most stable polymorph in this dataset: 594 meV/atom. The value obtained for the raw formation energy is 0.715 eV per formula unit. The space group is I-42d.

abc: 5.605 5.605 7.442
angles: 67.88 67.88 90.00
Sites, in units of the cell vectors:
1 Se 0.000 0.000 0.000
2 P 0.636 0.125 0.250
3 Se 0.750 0.250 0.500
4 P 0.114 0.625 0.250
5 Mg 0.250 0.750 0.500
6 Mg 0.500 0.500 0.000
7 P 0.875 0.886 0.750
8 P 0.375 0.364 0.750

***

[13]
Compound: Mg2PSe
Source: Alexandria
Functional: PBE-GGA
Structure: optimized geometry

## Properties
The value obtained for the energy is -3.851 eV/atom. As for the crystal system: orthorhombic. The value obtained for the raw formation energy is -3.321 eV per formula unit. The space group is Cmm2.

abc: 7.585 10.131 4.490
angles: 90.00 90.00 90.00
Sites, in units of the cell vectors:
1 Se 0.500 0.296 0.334
2 Mg 0.784 0.000 0.335
3 Se 0.000 0.796 0.334
4 Mg 0.716 0.500 0.335
5 P 0.645 0.000 0.835
6 Se 0.000 0.204 0.334
7 P 0.855 0.500 0.835
8 Mg 0.750 0.750 0.839
9 P 0.355 0.000 0.835
10 Mg 0.216 0.000 0.335
11 P 0.145 0.500 0.835
12 Mg 0.284 0.500 0.335
13 Mg 0.750 0.250 0.839
14 Mg 0.250 0.750 0.839
15 Se 0.500 0.704 0.334
16 Mg 0.250 0.250 0.839

***

[14]
Compound: Mg2PSe
Source: Alexandria
Functional: PBE-GGA
Structure: optimized geometry

## Properties
The value obtained for the energy is -3.424 eV/atom. As for the crystal system: orthorhombic. The value obtained for the raw formation energy is -1.614 eV per formula unit. The space group is Pmmm.

abc: 3.955 6.050 3.504
angles: 90.00 90.00 90.00
Sites, in units of the cell vectors:
1 P 0.500 0.000 0.500
2 Se 0.000 0.500 0.500
3 Mg 0.500 0.500 0.000
4 Mg 0.000 0.000 0.000

***

[15]
Compound: Mg2PSe
Source: Alexandria
Functional: PBE-GGA
Structure: optimized geometry

## Properties
The value obtained for the energy is -3.843 eV/atom. As for the crystal system: monoclinic. The value obtained for the raw formation energy is -3.289 eV per formula unit. The space group is Cm.

abc: 12.138 4.098 7.574
angles: 90.00 92.71 90.00
Sites, in units of the cell vectors:
1 Mg 0.571 0.500 0.864
2 Se 0.275 0.000 0.430
3 P 0.702 0.000 0.769
4 Mg 0.571 0.000 0.364
5 Se 0.988 0.500 0.595
6 Mg 0.776 0.500 0.597
7 Mg 0.356 0.000 0.111
8 P 0.702 0.500 0.269
9 Se 0.988 0.000 0.095
10 Mg 0.356 0.500 0.611
11 Mg 0.776 0.000 0.097
12 Se 0.275 0.500 0.930
13 P 0.514 0.500 0.173
14 Mg 0.062 0.500 0.926
15 P 0.514 0.000 0.673
16 Mg 0.062 0.000 0.426

***

[16]
Compound: MgPSe3
Source: Alexandria
Functional: PBE-GGA
Structure: optimized geometry

## Properties
The value obtained for the energy is -3.997 eV/atom. As for the crystal system: monoclinic. The value obtained for the raw formation energy is -2.529 eV per formula unit. The space group is P2_1/c.

abc: 6.361 7.484 10.499
angles: 90.00 90.55 90.00
Sites, in units of the cell vectors:
1 Se 0.688 0.774 0.416
2 Mg 0.607 0.063 0.261
3 Se 0.298 0.197 0.927
4 Mg 0.893 0.563 0.239
5 P 0.928 0.880 0.551
6 Se 0.187 0.029 0.263
7 Se 0.687 0.471 0.763
8 Se 0.798 0.303 0.427
9 P 0.072 0.120 0.449
10 Mg 0.393 0.937 0.739
11 Se 0.812 0.274 0.084
12 Mg 0.107 0.437 0.761
13 Se 0.313 0.529 0.237
14 P 0.428 0.620 0.051
15 Se 0.813 0.971 0.737
16 Se 0.312 0.226 0.584
17 Se 0.702 0.803 0.073
18 Se 0.188 0.726 0.916
19 Se 0.202 0.697 0.573
20 P 0.572 0.380 0.949

***

[17]
Compound: Mg2PSe
Source: Alexandria
Functional: PBE-GGA
Structure: optimized geometry

## Properties
The value obtained for the energy is -3.848 eV/atom. As for the crystal system: triclinic. The value obtained for the raw formation energy is -3.307 eV per formula unit. The space group is P1.

abc: 4.308 4.321 12.389
angles: 80.23 80.03 60.71
Sites, in units of the cell vectors:
1 Mg 0.658 0.899 0.437
2 Se 0.084 0.348 0.866
3 Se 0.326 0.600 0.145
4 P 0.835 0.084 0.592
5 Mg 0.153 0.404 0.649
6 Mg 0.970 0.244 0.208
7 Mg 0.396 0.663 0.930
8 P 0.011 0.254 0.416

***

[18]
Compound: MgPSe4
Source: Alexandria
Functional: PBE-GGA
Structure: optimized geometry

## Properties
The value obtained for the energy is -2.905 eV/atom. As for the crystal system: cubic. The value obtained for the raw formation energy is 3.515 eV per formula unit. The space group is F-43m.

abc: 5.651 5.651 5.651
angles: 60.00 60.00 60.00
Sites, in units of the cell vectors:
1 Se 0.375 0.876 0.375
2 P 0.000 0.000 0.000
3 Se 0.876 0.375 0.375
4 Se 0.375 0.375 0.876
5 Mg 0.750 0.750 0.750
6 Se 0.375 0.375 0.375

***

[19]
Compound: Mg2PSe
Source: Alexandria
Functional: PBE-GGA
Structure: optimized geometry

## Properties
The value obtained for the energy is -3.853 eV/atom. As for the crystal system: trigonal. The value obtained for the raw formation energy is -3.329 eV per formula unit. The space group is R3m.

abc: 4.005 4.005 34.481
angles: 90.00 90.00 120.00
Sites, in units of the cell vectors:
1 Mg 0.667 0.333 0.291
2 P 0.667 0.333 0.066
3 Mg 0.667 0.333 0.698
4 Mg 0.000 0.000 0.365
5 Se 0.000 0.000 0.486
6 Se 0.333 0.667 0.152
7 Mg 0.000 0.000 0.106
8 P 0.000 0.000 0.664
9 Mg 0.000 0.000 0.864
10 P 0.667 0.333 0.997
11 Mg 0.333 0.667 0.531
12 P 0.000 0.000 0.733
13 Mg 0.333 0.667 0.624
14 Se 0.000 0.000 0.244
15 Se 0.667 0.333 0.577
16 Mg 0.333 0.667 0.773
17 Se 0.333 0.667 0.910
18 Mg 0.667 0.333 0.197
19 Mg 0.333 0.667 0.032
20 P 0.333 0.667 0.330
21 Se 0.667 0.333 0.819
22 P 0.333 0.667 0.399
23 Mg 0.667 0.333 0.439
24 Mg 0.000 0.000 0.957

***

[20]
Compound: MgP2Se
Source: Alexandria
Functional: PBE-GGA
Structure: optimized geometry

## Properties
The value obtained for the energy is -3.706 eV/atom. As for the crystal system: orthorhombic. As for the energy above the most stable polymorph in this dataset: 683 meV/atom. The value obtained for the raw formation energy is 1.073 eV per formula unit. The space group is Cmmm.

abc: 4.659 4.659 3.221
angles: 90.00 90.00 90.11
Sites, in units of the cell vectors:
1 P 0.000 0.000 0.000
2 P 0.500 0.500 0.000
3 Mg 0.000 0.500 0.500
4 Se 0.500 0.000 0.500

***

[21]
Compound: Mg2PSe
Source: Alexandria
Functional: PBE-GGA
Structure: optimized geometry

## Properties
The value obtained for the energy is -3.367 eV/atom. As for the crystal system: tetragonal. The value obtained for the raw formation energy is -1.383 eV per formula unit. The space group is P4/mmm.

abc: 4.742 4.742 3.386
angles: 90.00 90.00 90.00
Sites, in units of the cell vectors:
1 Se 0.000 0.500 0.500
2 Mg 0.500 0.500 0.000
3 P 0.500 0.000 0.500
4 Mg 0.000 0.000 0.000

***

[22]
Compound: Mg2PSe
Source: Alexandria
Functional: PBE-GGA
Structure: optimized geometry

## Properties
The value obtained for the energy is -3.839 eV/atom. As for the crystal system: monoclinic. The value obtained for the raw formation energy is -3.273 eV per formula unit. The space group is P2/m.

abc: 5.554 4.459 7.655
angles: 90.00 100.87 90.00
Sites, in units of the cell vectors:
1 P 0.163 0.500 0.617
2 Mg 0.321 0.500 0.323
3 Se 0.293 0.000 0.152
4 Mg 0.679 0.500 0.677
5 P 0.837 0.500 0.383
6 Mg 0.189 0.000 0.791
7 Mg 0.811 0.000 0.209
8 Se 0.707 0.000 0.848

***

[23]
Compound: Mg2PSe
Source: Alexandria
Functional: PBE-GGA
Structure: optimized geometry

## Properties
The value obtained for the energy is -3.411 eV/atom. As for the crystal system: tetragonal. The value obtained for the raw formation energy is -1.561 eV per formula unit. The space group is I-4m2.

abc: 6.313 6.313 6.313
angles: 145.46 145.46 49.65
Sites, in units of the cell vectors:
1 Mg 0.000 0.000 0.000
2 Mg 0.250 0.750 0.500
3 P 0.500 0.500 0.000
4 Se 0.750 0.250 0.500

***

[24]
Compound: Mg2PSe
Source: Alexandria
Functional: PBE-GGA
Structure: optimized geometry

## Properties
The value obtained for the energy is -3.491 eV/atom. As for the crystal system: orthorhombic. The value obtained for the raw formation energy is -1.880 eV per formula unit. The space group is Pmmm.

abc: 3.572 3.127 7.095
angles: 90.00 90.00 90.00
Sites, in units of the cell vectors:
1 Se 0.500 0.750 0.750
2 Mg 0.000 0.750 0.466
3 P 0.500 0.250 0.250
4 Mg 0.000 0.750 0.034

***

[25]
Compound: MgP2Se
Source: Alexandria
Functional: PBE-GGA
Structure: optimized geometry

## Properties
The value obtained for the energy is -4.122 eV/atom. As for the crystal system: monoclinic. As for the energy above the most stable polymorph in this dataset: 268 meV/atom. The value obtained for the raw formation energy is -0.589 eV per formula unit. The space group is P2/m.

abc: 3.695 4.675 4.841
angles: 74.14 90.00 90.00
Sites, in units of the cell vectors:
1 P 0.000 0.068 0.945
2 Se 0.500 0.250 0.250
3 Mg 0.500 0.750 0.750
4 P 0.000 0.432 0.555